(1)
{"formula": "Li10ZnP4S16", "functional": "PBE-GGA", "state": "relaxed", "raw_formation_energy_mev_per_atom": -865, "de_polymorph_ev_per_atom": 0.0000, "spacegroup": "No. 1", "lattice": [[6.156, 0.000, 0.000], [-0.019, 7.909, 0.000], [-0.105, -0.104, 12.984]], "species": ["Li", "Li", "Li", "Li", "Li", "Li", "Li", "Li", "Li", "Li", "Zn", "P", "P", "P", "P", "S", "S", "S", "S", "S", "S", "S", "S", "S", "S", "S", "S", "S", "S", "S", "S"], "frac_coords": [[0.000, 0.000, 0.000], [0.002, 0.026, 0.505], [0.426, 0.696, 0.066], [0.491, 0.279, 0.421], [0.498, 0.784, 0.417], [0.505, 0.546, 0.661], [0.990, 0.283, 0.237], [0.992, 0.766, 0.235], [0.996, 0.773, 0.744], [0.998, 0.283, 0.734], [0.500, 0.261, 0.925], [0.002, 0.514, 0.987], [0.490, 0.038, 0.170], [0.493, 0.023, 0.673], [0.990, 0.529, 0.491], [0.096, 0.312, 0.419], [0.100, 0.743, 0.417], [0.103, 0.532, 0.641], [0.108, 0.519, 0.136], [0.112, 0.289, 0.917], [0.143, 0.718, 0.919], [0.154, 0.027, 0.173], [0.158, 0.025, 0.677], [0.589, 0.015, 0.016], [0.596, 0.253, 0.238], [0.597, 0.814, 0.231], [0.600, 0.033, 0.523], [0.601, 0.248, 0.746], [0.603, 0.822, 0.753], [0.655, 0.532, 0.488], [0.671, 0.522, 0.958]]}



(2)
{"formula": "PmTmAu3", "functional": "PBE-GGA", "state": "relaxed", "final_energy_ev_per_fu": -22.8, "spacegroup": "No. 12", "lattice": [[7.490, -2.634, 0.000], [7.490, 2.634, 0.000], [-1.989, 0.000, 5.817]], "species": ["Pm", "Pm", "Tm", "Tm", "Au", "Au", "Au", "Au", "Au", "Au"], "frac_coords": [[0.094, 0.094, 0.398], [0.906, 0.906, 0.602], [0.314, 0.314, 0.887], [0.686, 0.686, 0.113], [0.120, 0.120, 0.914], [0.291, 0.291, 0.376], [0.497, 0.497, 0.251], [0.503, 0.503, 0.749], [0.709, 0.709, 0.624], [0.880, 0.880, 0.086]]}



(3)
{"formula": "Ba5NaAu2", "functional": "PBE-GGA", "state": "relaxed", "final_energy_ev_per_fu": -20.5, "spacegroup": "No. 63", "lattice": [[3.284, -7.421, 0.000], [3.284, 7.421, 0.000], [0.000, 0.000, 16.630]], "species": ["Ba", "Ba", "Ba", "Ba", "Ba", "Ba", "Ba", "Ba", "Ba", "Ba", "Na", "Na", "Au", "Au", "Au", "Au"], "frac_coords": [[0.056, 0.944, 0.619], [0.056, 0.944, 0.881], [0.231, 0.769, 0.250], [0.345, 0.655, 0.540], [0.345, 0.655, 0.960], [0.655, 0.345, 0.040], [0.655, 0.345, 0.460], [0.769, 0.231, 0.750], [0.944, 0.056, 0.119], [0.944, 0.056, 0.381], [0.481, 0.519, 0.750], [0.519, 0.481, 0.250], [0.153, 0.847, 0.061], [0.153, 0.847, 0.439], [0.847, 0.153, 0.561], [0.847, 0.153, 0.939]]}



(4)
{"formula": "GePSCl2", "functional": "PBE-GGA", "state": "relaxed", "raw_formation_energy_mev_per_atom": 439, "de_polymorph_ev_per_atom": 0.2250, "spacegroup": "No. 123", "lattice": [[4.822, 0.000, 0.000], [0.000, 4.822, 0.000], [0.000, 0.000, 5.106]], "species": ["Ge", "P", "S", "Cl", "Cl"], "frac_coords": [[0.000, 0.000, 0.000], [0.500, 0.500, 0.500], [0.000, 0.000, 0.500], [0.000, 0.500, 0.000], [0.500, 0.000, 0.000]]}



(5)
{"formula": "LaMn4Ir", "functional": "PBE-GGA", "state": "relaxed", "final_energy_ev_per_fu": -48.6, "spacegroup": "No. 216", "lattice": [[0.000, 3.601, 3.601], [3.601, 0.000, 3.601], [3.601, 3.601, 0.000]], "species": ["La", "Mn", "Mn", "Mn", "Mn", "Ir"], "frac_coords": [[0.000, 0.000, 0.000], [0.132, 0.623, 0.623], [0.623, 0.132, 0.623], [0.623, 0.623, 0.132], [0.623, 0.623, 0.623], [0.250, 0.250, 0.250]]}



(6)
{"formula": "Zr2HgBi2", "functional": "PBE-GGA", "state": "relaxed", "de_polymorph_ev_per_atom": 0.2140, "spacegroup": "No. 127", "lattice": [[8.329, 0.000, 0.000], [0.000, 8.329, 0.000], [0.000, 0.000, 3.787]], "species": ["Zr", "Zr", "Zr", "Zr", "Hg", "Hg", "Bi", "Bi", "Bi", "Bi"], "frac_coords": [[0.138, 0.362, 0.000], [0.362, 0.862, 0.000], [0.638, 0.138, 0.000], [0.862, 0.638, 0.000], [0.000, 0.000, 0.500], [0.500, 0.500, 0.500], [0.153, 0.653, 0.500], [0.347, 0.153, 0.500], [0.653, 0.847, 0.500], [0.847, 0.347, 0.500]]}



(7)
{"formula": "TiH2IrRu", "functional": "PBE-GGA", "state": "relaxed", "de_polymorph_ev_per_atom": 0.0000, "spacegroup": "No. 123", "lattice": [[3.522, 0.000, 0.000], [0.000, 3.522, 0.000], [0.000, 0.000, 4.990]], "species": ["Ti", "H", "H", "Ir", "Ru"], "frac_coords": [[0.000, 0.000, 0.000], [0.000, 0.500, 0.500], [0.500, 0.000, 0.500], [0.500, 0.500, 0.000], [0.500, 0.500, 0.500]]}



(8)
{"formula": "B2MoIr", "functional": "PBE-GGA", "state": "relaxed", "de_polymorph_ev_per_atom": 0.2708, "spacegroup": "No. 122", "lattice": [[-2.278, 2.278, 5.262], [2.278, -2.278, 5.262], [2.278, 2.278, -5.262]], "species": ["B", "B", "B", "B", "Mo", "Mo", "Ir", "Ir"], "frac_coords": [[0.096, 0.625, 0.971], [0.375, 0.346, 0.471], [0.654, 0.125, 0.029], [0.875, 0.904, 0.529], [0.250, 0.750, 0.500], [0.500, 0.500, 0.000], [0.000, 0.000, 0.000], [0.750, 0.250, 0.500]]}